Here is crystalline Pr3Ga2Ir at its relaxed geometry from Alexandria via LeMat-Bulk. Energies are from GGA-PBE.

Unit cell a=12.3449 b=4.3031 c=11.9844 alpha=90.00 beta=90.00 gamma=90.00
Last column: nearest neighbours and their distance in Å.
Space group Pnma (No. 62)
Unique sites:
Pr  0.0482  0.2500  0.1276 [4 per cell]  5 Ga 3.07-3.36, 1 Ir 3.16
Pr  0.1152  0.7500  0.5536 [4 per cell]  3 Ir 3.02-3.12, 5 Ga 3.16-3.26
Pr  0.2295  0.2500  0.7950 [4 per cell]  2 Ir 2.95, 2 Ga 3.17-3.25
Ga  0.0141  0.7500  0.3068 [4 per cell]  2 Ir 2.71
Ga  0.1935  0.7500  0.0006 [4 per cell]  1 Ir 2.64
Ir  0.1287  0.2500  0.3779 [4 per cell]  3 Ga 2.64-2.71, 2 Pr 2.95

Energy of formation: -0.606 eV/atom
Fermi-level density of states: 6.23 states/eV/f.u.